[1]
## NaMn2Tc (PBE-GGA)

Data for an optimized crystal structure of NaMn2Tc.

Lattice parameters (Å, degrees): 6.968 6.968 5.657 51.98 51.98 90.00
Atoms (fractional coordinates):
Na: 0.500 0.500 0.000
Na: 0.250 0.750 0.500
Mn: 0.670 0.125 0.250
Mn: 0.080 0.625 0.250
Mn: 0.375 0.330 0.750
Mn: 0.875 0.920 0.750
Tc: 0.000 0.000 0.000
Tc: 0.750 0.250 0.500

Calculated formation energy ... 1.0462 eV per atom
Size of the total moment ... 8.0 μB per cell
Space-group type ... I-42d (122)
Energy above the most stable polymorph in this dataset ... 309.0 meV per atom



[2]
## Na2MnTc (PBE-GGA)

Data for an optimized crystal structure of Na2MnTc.

Lattice parameters (Å, degrees): 8.139 8.139 6.268 49.51 49.51 90.00
Atoms (fractional coordinates):
Na: 0.618 0.125 0.250
Na: 0.132 0.625 0.250
Na: 0.375 0.382 0.750
Na: 0.875 0.868 0.750
Mn: 0.500 0.500 0.000
Mn: 0.250 0.750 0.500
Tc: 0.000 0.000 0.000
Tc: 0.750 0.250 0.500

Calculated formation energy ... 1.2713 eV per atom
Size of the total moment ... 5.4 μB per cell
Space-group type ... I-42d (122)
Energy above the most stable polymorph in this dataset ... 0.0 meV per atom



[3]
## Na3MnTc (PBE-GGA)

Data for an optimized crystal structure of Na3MnTc.

Lattice parameters (Å, degrees): 5.560 5.560 5.560 90.00 90.00 90.00
Atoms (fractional coordinates):
Na: 0.000 0.500 0.000
Na: 0.000 0.000 0.500
Na: 0.500 0.000 0.000
Mn: 0.500 0.500 0.500
Tc: 0.000 0.000 0.000

Calculated formation energy ... 1.6105 eV per atom
Size of the total moment ... 7.3 μB per cell
Space-group type ... Pm-3m (221)
Energy above the most stable polymorph in this dataset ... 0.0 meV per atom



[4]
## NaMn2Tc (PBE-GGA)

Data for an optimized crystal structure of NaMn2Tc.

Lattice parameters (Å, degrees): 4.446 4.446 4.446 60.00 60.00 60.00
Atoms (fractional coordinates):
Na: 0.000 0.000 0.000
Mn: 0.250 0.250 0.250
Mn: 0.750 0.750 0.750
Tc: 0.500 0.500 0.500

Calculated formation energy ... 0.7371 eV per atom
Size of the total moment ... 5.9 μB per cell
Space-group type ... Fm-3m (225)
Energy above the most stable polymorph in this dataset ... 0.0 meV per atom



[5]
## Na2MnTcW (PBE-GGA)

Data for an optimized crystal structure of Na2MnTcW.

Lattice parameters (Å, degrees): 5.339 4.349 5.339 90.00 90.00 90.00
Atoms (fractional coordinates):
Na: 0.000 0.000 0.500
Na: 0.500 0.000 0.000
Mn: 0.000 0.500 0.000
Tc: 0.000 0.000 0.000
W: 0.500 0.500 0.500

Calculated formation energy ... 2.2346 eV per atom
Size of the total moment ... 5.8 μB per cell
Space-group type ... P4/mmm (123)



[6]
## Na2Mn2Te3 (PBE-GGA)

Data for an optimized crystal structure of Na2Mn2Te3.

Lattice parameters (Å, degrees): 7.877 11.230 11.230 83.56 69.35 69.35
Atoms (fractional coordinates):
Na: 0.937 0.032 0.198
Na: 0.437 0.198 0.032
Na: 0.750 0.280 0.720
Na: 0.750 0.566 0.434
Na: 0.250 0.434 0.566
Na: 0.250 0.720 0.280
Na: 0.563 0.802 0.968
Na: 0.063 0.968 0.802
Mn: 0.629 0.366 0.208
Mn: 0.607 0.078 0.550
Mn: 0.129 0.208 0.366
Mn: 0.107 0.550 0.078
Mn: 0.893 0.450 0.922
Mn: 0.871 0.792 0.634
Mn: 0.393 0.922 0.450
Mn: 0.371 0.634 0.792
Te: 0.732 0.275 0.425
Te: 0.716 0.589 0.150
Te: 0.232 0.425 0.275
Te: 0.216 0.150 0.589
Te: 0.839 0.223 0.992
Te: 0.161 0.777 0.008
Te: 0.784 0.850 0.411
Te: 0.768 0.575 0.725
Te: 0.339 0.992 0.223
Te: 0.284 0.411 0.850
Te: 0.268 0.725 0.575
Te: 0.661 0.008 0.777

Size of the total moment ... 40.0 μB per cell
Space-group type ... C2/c (15)
Raw formation energy ... -314 kJ/mol of formula units



[7]
## Na14Mn2Te9 (PBE-GGA)

Data for an optimized crystal structure of Na14Mn2Te9.

Lattice parameters (Å, degrees): 8.842 8.842 12.410 90.00 90.00 120.00
Atoms (fractional coordinates):
Na: 0.025 0.673 0.910
Na: 0.317 0.945 0.592
Na: 0.055 0.372 0.592
Na: 0.000 0.000 0.251
Na: 0.000 0.000 0.749
Na: 0.327 0.351 0.910
Na: 0.649 0.975 0.910
Na: 0.372 0.317 0.408
Na: 0.628 0.683 0.592
Na: 0.351 0.025 0.090
Na: 0.673 0.649 0.090
Na: 0.945 0.628 0.408
Na: 0.683 0.055 0.408
Na: 0.975 0.327 0.090
Mn: 0.333 0.667 0.259
Mn: 0.667 0.333 0.741
Te: 0.306 0.948 0.336
Te: 0.052 0.358 0.336
Te: 0.333 0.667 0.035
Te: 0.000 0.000 0.000
Te: 0.358 0.306 0.664
Te: 0.642 0.694 0.336
Te: 0.667 0.333 0.965
Te: 0.948 0.642 0.664
Te: 0.694 0.052 0.664

Size of the total moment ... 10.0 μB per cell
Space-group type ... P-3 (147)
Raw formation energy ... -1941 kJ/mol of formula units



[8]
## NaMn2Te4 (PBE-GGA)

Data for an optimized crystal structure of NaMn2Te4.

Lattice parameters (Å, degrees): 8.413 8.413 7.969 120.49 105.93 105.03
Atoms (fractional coordinates):
Na: 0.158 0.658 0.500
Na: 0.125 0.125 0.000
Mn: 0.628 0.372 0.767
Mn: 0.605 0.861 0.233
Mn: 0.681 0.354 0.275
Mn: 0.079 0.405 0.725
Te: 0.896 0.154 0.272
Te: 0.284 0.593 0.154
Te: 0.882 0.624 0.728
Te: 0.802 0.123 0.689
Te: 0.435 0.113 0.311
Te: 0.439 0.130 0.846
Te: 0.428 0.588 0.778
Te: 0.810 0.650 0.222

Size of the total moment ... 14.0 μB per cell
Space-group type ... C2 (5)
Energy above the most stable polymorph in this dataset ... 64.4 meV per atom
Raw formation energy ... -188 kJ/mol of formula units



[9]
## NaMnTe2 (PBE-GGA)

Data for an optimized crystal structure of NaMnTe2.

Lattice parameters (Å, degrees): 6.886 6.886 7.248 61.64 61.64 90.00
Atoms (fractional coordinates):
Na: 0.500 0.500 0.000
Na: 0.250 0.750 0.500
Te: 0.709 0.125 0.250
Te: 0.041 0.625 0.250
Te: 0.375 0.291 0.750
Te: 0.875 0.959 0.750
Mn: 0.000 0.000 0.000
Mn: 0.750 0.250 0.500

Size of the total moment ... 0.0 μB per cell
Space-group type ... I-42d (122)
Raw formation energy ... -34 kJ/mol of formula units



[10]
## NaMnTe2 (PBE-GGA)

Data for an optimized crystal structure of NaMnTe2.

Lattice parameters (Å, degrees): 4.296 4.296 7.912 90.00 90.00 120.00
Atoms (fractional coordinates):
Na: 0.000 0.000 0.032
Te: 0.333 0.667 0.283
Te: 0.667 0.333 0.747
Mn: 0.333 0.667 0.603

Size of the total moment ... 4.0 μB per cell
Space-group type ... P3m1 (156)
Raw formation energy ... -117 kJ/mol of formula units



[11]
## Na2MnTe3 (PBE-GGA)

Data for an optimized crystal structure of Na2MnTe3.

Lattice parameters (Å, degrees): 7.289 7.312 7.841 80.75 71.19 60.10
Atoms (fractional coordinates):
Na: 0.000 0.000 0.000
Na: 0.500 0.000 0.500
Na: 0.150 0.699 0.500
Na: 0.850 0.301 0.500
Mn: 0.668 0.665 0.000
Mn: 0.332 0.335 0.000
Te: 0.455 0.616 0.796
Te: 0.310 0.000 0.206
Te: 0.545 0.384 0.204
Te: 0.929 0.616 0.204
Te: 0.071 0.384 0.796
Te: 0.690 0.000 0.794

Size of the total moment ... 6.0 μB per cell
Space-group type ... C2/m (12)
Raw formation energy ... -305 kJ/mol of formula units



[12]
## Na6MnTe4 (PBE-GGA)

Data for an optimized crystal structure of Na6MnTe4.

Lattice parameters (Å, degrees): 10.092 10.092 7.733 90.00 90.00 120.00
Atoms (fractional coordinates):
Na: 0.150 0.850 0.543
Na: 0.300 0.150 0.043
Na: 0.850 0.700 0.043
Na: 0.150 0.300 0.543
Na: 0.700 0.850 0.543
Na: 0.850 0.150 0.043
Na: 0.527 0.473 0.371
Na: 0.055 0.527 0.871
Na: 0.473 0.945 0.871
Na: 0.527 0.055 0.371
Na: 0.945 0.473 0.371
Na: 0.473 0.527 0.871
Mn: 0.333 0.667 0.252
Mn: 0.667 0.333 0.752
Te: 0.333 0.667 0.606
Te: 0.667 0.333 0.106
Te: 0.185 0.815 0.142
Te: 0.370 0.185 0.642
Te: 0.815 0.630 0.642
Te: 0.185 0.370 0.142
Te: 0.630 0.815 0.142
Te: 0.815 0.185 0.642

Size of the total moment ... 10.0 μB per cell
Space-group type ... P6_3mc (186)
Raw formation energy ... -850 kJ/mol of formula units



[13]
## Na5Mn2Te5 (PBE-GGA)

Data for an optimized crystal structure of Na5Mn2Te5.

Lattice parameters (Å, degrees): 4.285 7.628 12.102 105.61 90.00 106.31
Atoms (fractional coordinates):
Na: 0.500 0.000 0.500
Na: 0.663 0.325 0.064
Na: 0.761 0.523 0.370
Na: 0.239 0.477 0.630
Na: 0.337 0.675 0.936
Mn: 0.046 0.093 0.798
Mn: 0.954 0.907 0.202
Te: 0.105 0.211 0.381
Te: 0.664 0.327 0.798
Te: 0.336 0.673 0.202
Te: 0.895 0.789 0.619
Te: 0.000 0.000 0.000

Size of the total moment ... 9.0 μB per cell
Space-group type ... C2/m (12)
Energy above the most stable polymorph in this dataset ... 9.3 meV per atom
Raw formation energy ... -690 kJ/mol of formula units



[14]
## NaMnTe2 (PBE-GGA)

Data for an optimized crystal structure of NaMnTe2.

Lattice parameters (Å, degrees): 4.058 4.058 8.016 75.34 75.34 60.00
Atoms (fractional coordinates):
Na: 0.500 0.500 0.499
Mn: 0.667 0.667 0.000
Te: 0.067 0.067 0.799
Te: 0.266 0.266 0.202

Size of the total moment ... 4.0 μB per cell
Space-group type ... R3m (160)
Raw formation energy ... -170 kJ/mol of formula units



[15]
## NaMn4Te8 (PBE-GGA)

Data for an optimized crystal structure of NaMn4Te8.

Lattice parameters (Å, degrees): 7.643 7.643 9.169 65.37 65.37 60.00
Atoms (fractional coordinates):
Na: 0.500 0.500 0.500
Mn: 0.000 0.500 0.000
Mn: 0.500 0.500 0.000
Mn: 0.500 0.000 0.000
Mn: 0.000 0.000 0.000
Te: 0.728 0.233 0.806
Te: 0.767 0.272 0.194
Te: 0.272 0.767 0.194
Te: 0.767 0.767 0.194
Te: 0.731 0.731 0.807
Te: 0.269 0.269 0.193
Te: 0.233 0.233 0.806
Te: 0.233 0.728 0.806

Size of the total moment ... 12.5 μB per cell
Space-group type ... R-3m (166)
Raw formation energy ... -353 kJ/mol of formula units



[16]
## NaMn2Te2 (PBE-GGA)

Data for an optimized crystal structure of NaMn2Te2.

Lattice parameters (Å, degrees): 3.793 3.793 8.253 76.71 76.71 90.00
Atoms (fractional coordinates):
Na: 0.000 0.000 0.000
Te: 0.365 0.365 0.270
Te: 0.635 0.635 0.730
Mn: 0.750 0.250 0.500
Mn: 0.250 0.750 0.500

Size of the total moment ... 4.3 μB per cell
Space-group type ... I4/mmm (139)
Raw formation energy ... -89 kJ/mol of formula units



[17]
## NaMn3Te (PBE-GGA)

Data for an optimized crystal structure of NaMn3Te.

Lattice parameters (Å, degrees): 4.790 4.790 4.790 90.00 90.00 90.00
Atoms (fractional coordinates):
Na: 0.000 0.000 0.000
Te: 0.500 0.500 0.500
Mn: 0.000 0.500 0.000
Mn: 0.000 0.000 0.500
Mn: 0.500 0.000 0.000

Size of the total moment ... 11.9 μB per cell
Space-group type ... Pm-3m (221)
Energy above the most stable polymorph in this dataset ... 529.1 meV per atom
Raw formation energy ... 676 kJ/mol of formula units



[18]
## Na5Mn2Te5 (PBE-GGA)

Data for an optimized crystal structure of Na5Mn2Te5.

Lattice parameters (Å, degrees): 7.058 8.156 8.156 79.21 64.36 64.36
Atoms (fractional coordinates):
Na: 0.141 0.394 0.000
Na: 0.535 0.606 0.000
Na: 0.141 0.000 0.394
Na: 0.535 0.000 0.606
Na: 0.908 0.000 0.000
Mn: 0.243 0.500 0.500
Mn: 0.743 0.500 0.500
Te: 0.994 0.696 0.304
Te: 0.994 0.304 0.696
Te: 0.690 0.304 0.304
Te: 0.471 0.000 0.000
Te: 0.298 0.696 0.696

Size of the total moment ... 9.0 μB per cell
Space-group type ... I4mm (107)
Energy above the most stable polymorph in this dataset ... 0.0 meV per atom
Raw formation energy ... -701 kJ/mol of formula units



[19]
## NaMn3Te (PBE-GGA)

Data for an optimized crystal structure of NaMn3Te.

Lattice parameters (Å, degrees): 4.995 4.995 4.995 90.00 90.00 90.00
Atoms (fractional coordinates):
Na: 0.500 0.500 0.500
Te: 0.000 0.000 0.000
Mn: 0.000 0.500 0.000
Mn: 0.000 0.000 0.500
Mn: 0.500 0.000 0.000

Size of the total moment ... 10.2 μB per cell
Space-group type ... Pm-3m (221)
Energy above the most stable polymorph in this dataset ... 0.0 meV per atom
Raw formation energy ... 421 kJ/mol of formula units



[20]
## NaMn2Te4 (PBE-GGA)

Data for an optimized crystal structure of NaMn2Te4.

Lattice parameters (Å, degrees): 4.012 4.012 13.492 81.45 81.45 60.00
Atoms (fractional coordinates):
Na: 0.000 0.000 0.000
Mn: 0.428 0.428 0.715
Mn: 0.572 0.572 0.285
Te: 0.133 0.133 0.601
Te: 0.276 0.276 0.171
Te: 0.724 0.724 0.829
Te: 0.867 0.867 0.399

Size of the total moment ... 7.1 μB per cell
Space-group type ... R-3m (166)
Energy above the most stable polymorph in this dataset ... 0.0 meV per atom
Raw formation energy ... -232 kJ/mol of formula units



[21]
## NaMnTe2 (PBE-GGA)

Data for an optimized crystal structure of NaMnTe2.

Lattice parameters (Å, degrees): 5.215 5.215 5.215 60.00 60.00 60.00
Atoms (fractional coordinates):
Na: 0.000 0.000 0.000
Te: 0.250 0.250 0.250
Te: 0.750 0.750 0.750
Mn: 0.500 0.500 0.500

Size of the total moment ... 4.3 μB per cell
Space-group type ... Fm-3m (225)
Raw formation energy ... -40 kJ/mol of formula units



[22]
## Na2ThMnTe4 (PBE-GGA)

Data for an optimized crystal structure of Na2ThMnTe4.

Lattice parameters (Å, degrees): 4.432 7.556 7.971 108.81 90.00 90.00
Atoms (fractional coordinates):
Na: 0.500 0.000 0.500
Na: 0.000 0.500 0.500
Th: 0.500 0.500 0.000
Mn: 0.000 0.000 0.000
Te: 0.500 0.223 0.217
Te: 0.500 0.777 0.783
Te: 0.000 0.246 0.763
Te: 0.000 0.754 0.237

Size of the total moment ... 5.0 μB per cell
Space-group type ... P2/m (10)
Raw formation energy ... -649 kJ/mol of formula units